# Sm4C2F5

Crystalline Sm4C2F5 at its relaxed geometry (PBE-GGA, the Alexandria database).

a b c (Å): 8.365 8.365 8.365
angles (deg): 155.82 130.23 56.07
Element x y z (fractional)
Sm (0.200, 0.200, 0.000)
Sm (0.235, 0.500, 0.735)
Sm (0.765, 0.500, 0.265)
Sm (0.800, 0.800, 0.000)
C (0.048, 0.048, 0.000)
C (0.952, 0.952, 0.000)
F (0.089, 0.323, 0.765)
F (0.442, 0.677, 0.765)
F (0.500, 0.000, 0.500)
F (0.558, 0.323, 0.235)
F (0.911, 0.677, 0.235)

Values from the calculation:
Spin magnetization = 0.094 μB per formula unit
Uncorrected energy = -6.701 eV/atom
Space group = Immm (71)
V = 16.55 A^3/atom
ΔE_f (raw) = -27.03 eV per formula unit